CaCeP2 (PBE-GGA, relaxed); formation energy = -1.22 eV per atom; energy above the lowest structure with this stoichiometry = 98.7 meV/atom; E = -5.91 eV/atom; calculated volume = 25.109 Å³ per atom
1.0
2.0518 1.1846 6.8873
-2.0518 1.1846 6.8873
0.0000 -2.3692 6.8873
Ca Ce P
1 1 2
direct
0.0000 0.0000 0.0000
0.1715 0.1715 0.1715
0.5806 0.5806 0.5806
0.7604 0.7604 0.7604

---

Ca2CeP3 (PBE-GGA, relaxed); formation energy = -1.11 eV per atom; DOS at the Fermi energy = 9.20 states/eV per cell; E = -5.47 eV/atom; calculated volume = 24.659 Å³ per atom
1.0
-2.0740 2.8930 6.1649
2.0740 -2.8930 6.1649
2.0740 2.8930 -6.1649
Ca Ce P
2 1 3
direct
0.1692 0.1692 0.0000
0.8308 0.8308 0.0000
0.5000 0.5000 0.0000
0.0000 0.5000 0.5000
0.3452 0.8452 0.5000
0.6548 0.1548 0.5000

---

CaCeP2 (PBE-GGA, relaxed); formation energy = -1.32 eV per atom; energy above the lowest structure with this stoichiometry = 0.0 meV/atom; E = -6.01 eV/atom; calculated volume = 24.679 Å³ per atom
1.0
2.0731 1.1969 6.6303
-2.0731 1.1969 6.6303
0.0000 -2.3939 6.6303
Ca Ce P
1 1 2
direct
0.0000 0.0000 0.0000
0.5000 0.5000 0.5000
0.2439 0.2439 0.2439
0.7561 0.7561 0.7561